Entry from OQMD via LeMat-Bulk: a geometry-optimized GaIr7 structure (PBE-GGA).

Values from the calculation:
Magnetic moment = 0.0 μB/f.u.
VASP energy = -8.101 eV per atom
ρ = 14.3 g/cm3

Lattice parameters (Å, degrees): 2.740 2.740 43.839 90.00 90.00 90.00
Atoms (fractional coordinates):
Ga  0.250  0.250  0.168
Ga  0.750  0.750  0.832
Ir  0.250  0.250  0.257
Ir  0.250  0.250  0.345
Ir  0.250  0.250  0.434
Ir  0.250  0.250  0.522
Ir  0.250  0.250  0.610
Ir  0.250  0.250  0.699
Ir  0.250  0.250  0.787
Ir  0.750  0.750  0.213
Ir  0.750  0.750  0.301
Ir  0.750  0.750  0.390
Ir  0.750  0.750  0.478
Ir  0.750  0.750  0.566
Ir  0.750  0.750  0.655
Ir  0.750  0.750  0.743